Density functional theory data (PBE) for an optimized crystal structure of CaCd4Br.

a = 6.149 Å, b = 6.149 Å, c = 6.149 Å
α = 60.00°, β = 60.00°, γ = 60.00°
Positions (direct):
Ca (0.000, 0.000, 0.000)
Cd (0.123, 0.626, 0.626)
Cd (0.626, 0.123, 0.626)
Cd (0.626, 0.626, 0.123)
Cd (0.626, 0.626, 0.626)
Br (0.250, 0.250, 0.250)

Calculated values
**E_form (uncorrected)**: -234 meV/atom
**DFT total energy**: -8.7 eV/cell